No. 1
This record from Alexandria via LeMat-Bulk describes a relaxed SnHPd2Se crystal. The functional is GGA-PBE.

Space group: P4/mmm, No. 123
Electronic total energy (eV/atom): -4.223

abc: 4.1918 4.3949 4.1918
angles: 90.00 90.00 90.00
With the nearest neighbours (Å) after each atom.
Positions (direct):
H 0.0000 0.0000 0.0000  4 Pd 2.10, 2 Se 2.20
Se 0.0000 0.5000 0.0000  2 H 2.20
Sn 0.5000 0.5000 0.5000  4 Se 2.96, 8 Pd 3.04
Pd 0.0000 0.0000 0.5000  2 H 2.10
Pd 0.5000 0.0000 0.0000  2 H 2.10

---

No. 2
This record from Alexandria via LeMat-Bulk describes a relaxed Sr2HPdSe crystal. The functional is GGA-PBE.

Space group: P4/mmm, No. 123
Electronic total energy (eV/atom): -4.075

abc: 5.3469 5.3469 3.8227
angles: 90.00 90.00 90.00
With the nearest neighbours (Å) after each atom.
Positions (direct):
Sr 0.0000 0.5000 0.0000  2 H 2.67
Sr 0.5000 0.0000 0.0000  2 H 2.67
Se 0.5000 0.5000 0.5000  8 Sr 3.29
Pd 0.0000 0.0000 0.5000  2 H 1.91
H 0.0000 0.0000 0.0000  2 Pd 1.91

---

No. 3
This record from Alexandria via LeMat-Bulk describes a relaxed TcH2PdSe crystal. The functional is GGA-PBE.

Space group: P4/mmm, No. 123
Electronic total energy (eV/atom): -4.654

abc: 3.5924 5.3922 3.5924
angles: 90.00 90.00 90.00
With the nearest neighbours (Å) after each atom.
Positions (direct):
H 0.0000 0.0000 0.5000  2 Tc 1.80
H 0.5000 0.0000 0.0000  2 Tc 1.80
Se 0.5000 0.5000 0.5000  4 Pd 2.54
Tc 0.0000 0.0000 0.0000  4 H 1.80
Pd 0.0000 0.5000 0.0000  4 Se 2.54, 2 Tc 2.70

---

No. 4
This record from Alexandria via LeMat-Bulk describes a relaxed Tl2HPdSe crystal. The functional is GGA-PBE.

Space group: P4/mmm, No. 123
Electronic total energy (eV/atom): -3.432

abc: 5.5570 5.5570 3.4951
angles: 90.00 90.00 90.00
With the nearest neighbours (Å) after each atom.
Positions (direct):
H 0.0000 0.0000 0.5000  2 Pd 1.75
Tl 0.0000 0.5000 0.0000  2 Pd 2.78
Tl 0.5000 0.0000 0.0000  2 Pd 2.78
Se 0.5000 0.5000 0.5000  8 Tl 3.28, 2 Se 3.50
Pd 0.0000 0.0000 0.0000  2 H 1.75

---

No. 5
This record from Alexandria via LeMat-Bulk describes a relaxed TlHPd3Se crystal. The functional is GGA-PBE.

Space group: Cmcm, No. 63
Electronic total energy (eV/atom): -4.261

abc: 5.7063 6.6299 6.4181
angles: 121.10 90.00 90.00
With the nearest neighbours (Å) after each atom.
Positions (direct):
Tl 0.7500 0.2380 0.4760  2 Pd 2.89, 1 H 2.89
Tl 0.2500 0.7620 0.5240  2 Pd 2.89, 1 H 2.89
H 0.2500 0.0251 0.0503  5 Pd 1.90-2.01
H 0.7500 0.9749 0.9497  5 Pd 1.90-2.01
Pd 0.2500 0.1978 0.3956  1 H 1.90
Pd 0.0000 0.2090 0.0000  2 H 2.01
Pd 0.5000 0.7910 0.0000  2 H 2.01
Pd 0.5000 0.2090 0.0000  2 H 2.01
Pd 0.0000 0.7910 0.0000  2 H 2.01
Pd 0.7500 0.8022 0.6044  1 H 1.90
Se 0.2500 0.4204 0.8408  5 Pd 2.45-2.55
Se 0.7500 0.5796 0.1592  5 Pd 2.45-2.55

---

No. 6
This record from Alexandria via LeMat-Bulk describes a relaxed Si2HPd6 crystal. The functional is GGA-PBE.

Space group: C2/m, No. 12
Electronic total energy (eV/atom): -5.534

abc: 3.5414 4.9026 8.8855
angles: 57.18 78.51 68.83
With the nearest neighbours (Å) after each atom.
Positions (direct):
Si 0.2431 0.7579 0.7560  8 Pd 2.43-2.59
Si 0.7569 0.2421 0.2440  8 Pd 2.43-2.59
H 0.0000 0.5000 0.5000  2 Pd 1.89
Pd 0.6403 0.7771 0.9422  3 Si 2.43-2.51, 1 Pd 2.70
Pd 0.3597 0.2229 0.0578  3 Si 2.43-2.51, 1 Pd 2.70
Pd 0.0630 0.6163 0.2576  1 H 1.89
Pd 0.3571 0.8484 0.4374  2 H 2.25, 2 Si 2.47
Pd 0.9370 0.3837 0.7424  1 H 1.89
Pd 0.6429 0.1516 0.5626  2 H 2.25, 2 Si 2.47

---

No. 7
This record from Alexandria via LeMat-Bulk describes a relaxed SiH2Pd crystal. The functional is GGA-PBE.

Space group: I-42d, No. 122
Distance to the lowest polymorph of the same formula (meV/atom): 0

abc: 4.3980 4.3980 5.2759
angles: 65.37 65.37 90.00
With the nearest neighbours (Å) after each atom.
Positions (direct):
H 0.6651 0.1250 0.2500  2 Pd 1.79, 2 Si 1.99
H 0.0849 0.6250 0.2500  2 Pd 1.79, 2 Si 1.99
H 0.3750 0.3349 0.7500  2 Pd 1.79, 2 Si 1.99
H 0.8750 0.9151 0.7500  2 Pd 1.79, 2 Si 1.99
Si 0.5000 0.5000 0.0000  4 H 1.99
Si 0.2500 0.7500 0.5000  4 H 1.99
Pd 0.0000 0.0000 0.0000  4 H 1.79
Pd 0.7500 0.2500 0.5000  4 H 1.79

---

No. 8
This record from Alexandria via LeMat-Bulk describes a relaxed SiHPd5 crystal. The functional is GGA-PBE.

Space group: C2/c, No. 15
Electronic total energy (eV/atom): -5.218

abc: 5.5594 5.5594 7.1113
angles: 74.75 74.75 72.65
With the nearest neighbours (Å) after each atom.
Positions (direct):
Si 0.5768 0.4232 0.2500  7 Pd 2.32-2.52
Si 0.4232 0.5768 0.7500  7 Pd 2.32-2.52
H 0.0000 0.0000 0.0000  2 Pd 1.84
H 0.0000 0.0000 0.5000  2 Pd 1.84
Pd 0.8959 0.6532 0.1387  1 H 2.10, 1 Si 2.34
Pd 0.2154 0.6054 0.4667  1 H 2.20, 1 Si 2.33
Pd 0.6532 0.8959 0.6387  1 H 2.10, 1 Si 2.34
Pd 0.9286 0.0714 0.2500  2 H 1.84
Pd 0.3946 0.7846 0.0333  1 H 2.20, 1 Si 2.33
Pd 0.6054 0.2154 0.9667  1 H 2.20, 1 Si 2.33
Pd 0.0714 0.9286 0.7500  2 H 1.84
Pd 0.3468 0.1041 0.3613  1 H 2.10, 1 Si 2.34
Pd 0.7846 0.3946 0.5333  1 H 2.20, 1 Si 2.33
Pd 0.1041 0.3468 0.8613  1 H 2.10, 1 Si 2.34

---

Number 1: calculated density 8.85 g/cm³. Number 2: calculated density 5.49 g/cm³. Number 3: calculated density 6.81 g/cm³. Number 4: calculated density 9.16 g/cm³. Number 5: calculated density 9.64 g/cm³. Number 6: calculated density 9.56 g/cm³. Number 7: calculated density 5.50 g/cm³. Number 8: calculated density 9.40 g/cm³.